(1)
An optimized crystal structure of BaLiPa2N4. Source: Alexandria via LeMat-Bulk, functional PBE.

Computed properties:
**DOS(E_F)**: 7.9 states/eV per cell
**Raw total energy**: -8.3679 eV per atom
**Space group**: Cmcm
**Total moment**: 0.0 μB/f.u.
**Uncorrected formation energy**: -1.352 eV per atom

a = 3.6419 Å, b = 6.2162 Å, c = 11.6214 Å
α = 90.00°, β = 90.00°, γ = 107.03°
Last column: nearest neighbours and their distance in Å.
Atoms (fractional coordinates):
Ba (0.0972, 0.1943, 0.7500)  8 N 2.86-3.13
Ba (0.9028, 0.8057, 0.2500)  8 N 2.86-3.13
Li (0.8253, 0.6506, 0.7500)  4 N 2.01-2.09
Li (0.1747, 0.3494, 0.2500)  4 N 2.01-2.09
Pa (0.3677, 0.7354, 0.5580)  6 N 2.26-2.50
Pa (0.6323, 0.2646, 0.0580)  6 N 2.26-2.50
Pa (0.6323, 0.2646, 0.4420)  6 N 2.26-2.50
Pa (0.3677, 0.7354, 0.9420)  6 N 2.26-2.50
N (0.2509, 0.5018, 0.0959)  1 Li 2.01
N (0.7491, 0.4982, 0.5959)  1 Li 2.01
N (0.7491, 0.4982, 0.9041)  1 Li 2.01
N (0.2509, 0.5018, 0.4041)  1 Li 2.01
N (0.0000, 0.0000, 0.5000)  4 Pa 2.50
N (0.0000, 0.0000, 0.0000)  4 Pa 2.50
N (0.4118, 0.8236, 0.7500)  2 Li 2.09, 2 Pa 2.29
N (0.5882, 0.1764, 0.2500)  2 Li 2.09, 2 Pa 2.29

---

(2)
An optimized crystal structure of BaLiPaN3. Source: Alexandria via LeMat-Bulk, functional PBE.

Computed properties:
**DOS(E_F)**: 8.0 states/eV per cell
**Raw total energy**: -7.3183 eV per atom
**Space group**: P2_1/m
**Total moment**: 0.0 μB/f.u.
**Uncorrected formation energy**: -0.934 eV per atom

a = 3.7026 Å, b = 7.6269 Å, c = 7.5557 Å
α = 109.04°, β = 90.00°, γ = 90.00°
Last column: nearest neighbours and their distance in Å.
Atoms (fractional coordinates):
Ba (0.2500, 0.2098, 0.2492)  7 N 2.81-3.13, 1 Li 3.03
Ba (0.7500, 0.7902, 0.7508)  7 N 2.81-3.13, 1 Li 3.03
Li (0.2500, 0.0744, 0.5837)  4 N 1.99-2.14
Li (0.7500, 0.9256, 0.4163)  4 N 1.99-2.14
Pa (0.2500, 0.6853, 0.1594)  4 N 2.07-2.31
Pa (0.7500, 0.3147, 0.8406)  4 N 2.07-2.31
N (0.7500, 0.8597, 0.1394)  1 Li 1.99
N (0.2500, 0.1403, 0.8606)  1 Li 1.99
N (0.2500, 0.7988, 0.4483)  3 Li 2.02-2.14, 1 Pa 2.07
N (0.7500, 0.2012, 0.5517)  3 Li 2.02-2.14, 1 Pa 2.07
N (0.7500, 0.4582, 0.1352)  1 Pa 2.14
N (0.2500, 0.5418, 0.8648)  1 Pa 2.14

---

(3)
An optimized crystal structure of Ba2LiPbN. Source: Alexandria via LeMat-Bulk, functional PBE.

Computed properties:
**DOS(E_F)**: 4.1 states/eV per cell
**Raw total energy**: -3.8661 eV per atom
**Space group**: P4/mmm
**Total moment**: 0.3 μB/f.u.
**Uncorrected formation energy**: -0.307 eV per atom

a = 5.8868 Å, b = 5.8868 Å, c = 4.1454 Å
α = 90.00°, β = 90.00°, γ = 90.00°
Last column: nearest neighbours and their distance in Å.
Atoms (fractional coordinates):
Pb (0.5000, 0.5000, 0.5000)  8 Ba 3.60
Li (0.0000, 0.0000, 0.5000)  2 N 2.07
Ba (0.0000, 0.5000, 0.0000)  2 N 2.94
Ba (0.5000, 0.0000, 0.0000)  2 N 2.94
N (0.0000, 0.0000, 0.0000)  2 Li 2.07

---

(4)
An optimized crystal structure of Ba2LiPdN. Source: Alexandria via LeMat-Bulk, functional PBE.

Computed properties:
**DOS(E_F)**: 2.3 states/eV per cell
**Raw total energy**: -4.0675 eV per atom
**Space group**: P4/mmm
**Total moment**: 0.0 μB/f.u.
**Energy above the lowest structure with this stoichiometry**: 149 meV per atom
**Uncorrected formation energy**: -0.212 eV per atom

a = 5.8283 Å, b = 5.8283 Å, c = 3.9941 Å
α = 90.00°, β = 90.00°, γ = 90.00°
Last column: nearest neighbours and their distance in Å.
Atoms (fractional coordinates):
Li (0.5000, 0.5000, 0.5000)  8 Ba 3.53
Ba (0.0000, 0.5000, 0.0000)  2 N 2.91
Ba (0.5000, 0.0000, 0.0000)  2 N 2.91
Pd (0.0000, 0.0000, 0.5000)  2 N 2.00
N (0.0000, 0.0000, 0.0000)  2 Pd 2.00

---

(5)
An optimized crystal structure of Ba2LiPdN. Source: Alexandria via LeMat-Bulk, functional PBE.

Computed properties:
**DOS(E_F)**: 2.1 states/eV per cell
**Raw total energy**: -4.2168 eV per atom
**Space group**: P4/mmm
**Total moment**: 0.0 μB/f.u.
**Energy above the lowest structure with this stoichiometry**: 0 meV per atom
**Uncorrected formation energy**: -0.361 eV per atom

a = 5.6171 Å, b = 5.6171 Å, c = 4.0308 Å
α = 90.00°, β = 90.00°, γ = 90.00°
Last column: nearest neighbours and their distance in Å.
Atoms (fractional coordinates):
Li (0.0000, 0.0000, 0.5000)  2 N 2.02
Ba (0.0000, 0.5000, 0.0000)  2 N 2.81
Ba (0.5000, 0.0000, 0.0000)  2 N 2.81
Pd (0.5000, 0.5000, 0.5000)  8 Ba 3.46
N (0.0000, 0.0000, 0.0000)  2 Li 2.02

---

(6)
An optimized crystal structure of BaLiPu2N4. Source: Alexandria via LeMat-Bulk, functional PBE.

Computed properties:
**DOS(E_F)**: 23.5 states/eV per cell
**Raw total energy**: -9.2213 eV per atom
**Space group**: Cmcm
**Total moment**: 7.0 μB/f.u.
**Uncorrected formation energy**: -0.996 eV per atom

a = 3.5695 Å, b = 6.0896 Å, c = 11.4564 Å
α = 90.00°, β = 90.00°, γ = 107.04°
Last column: nearest neighbours and their distance in Å.
Atoms (fractional coordinates):
Ba (0.1001, 0.2001, 0.7500)  8 N 2.82-3.09
Ba (0.8999, 0.7999, 0.2500)  8 N 2.82-3.09
Li (0.8279, 0.6558, 0.7500)  4 N 2.00-2.04
Li (0.1721, 0.3442, 0.2500)  4 N 2.00-2.04
Pu (0.3666, 0.7333, 0.5585)  6 N 2.21-2.46
Pu (0.6334, 0.2667, 0.0585)  6 N 2.21-2.46
Pu (0.6334, 0.2667, 0.4415)  6 N 2.21-2.46
Pu (0.3666, 0.7333, 0.9415)  6 N 2.21-2.46
N (0.2512, 0.5024, 0.0951)  1 Li 2.00, 1 Pu 2.21
N (0.7488, 0.4976, 0.5951)  1 Li 2.00, 1 Pu 2.21
N (0.7488, 0.4976, 0.9049)  1 Li 2.00, 1 Pu 2.21
N (0.2512, 0.5024, 0.4049)  1 Li 2.00, 1 Pu 2.21
N (0.0000, 0.0000, 0.5000)  4 Pu 2.46
N (0.0000, 0.0000, 0.0000)  4 Pu 2.46
N (0.4122, 0.8243, 0.7500)  2 Li 2.04, 2 Pu 2.26
N (0.5878, 0.1757, 0.2500)  2 Li 2.04, 2 Pu 2.26

---

(7)
An optimized crystal structure of BaLiPuN3. Source: Alexandria via LeMat-Bulk, functional PBE.

Computed properties:
**DOS(E_F)**: 4.6 states/eV per cell
**Raw total energy**: -7.8659 eV per atom
**Space group**: C2/c
**Total moment**: 2.0 μB/f.u.
**Uncorrected formation energy**: -0.675 eV per atom

a = 6.0457 Å, b = 5.8028 Å, c = 6.4766 Å
α = 63.39°, β = 86.13°, γ = 81.33°
Last column: nearest neighbours and their distance in Å.
Atoms (fractional coordinates):
Ba (0.2500, 0.2557, 0.4887)  8 N 2.90-3.20
Ba (0.7500, 0.7443, 0.5113)  8 N 2.90-3.20
Li (0.2500, 0.5688, 0.8623)  3 N 2.20-2.28
Li (0.7500, 0.4312, 0.1377)  3 N 2.20-2.28
Pu (0.7500, 0.0621, 0.8758)  3 N 1.93-2.07
Pu (0.2500, 0.9379, 0.1242)  3 N 1.93-2.07
N (0.5460, 0.8196, 0.9133)  1 Pu 1.93
N (0.9540, 0.2671, 0.9133)  1 Pu 1.93
N (0.7500, 0.2411, 0.5178)  1 Pu 2.07, 1 Li 2.20
N (0.4540, 0.1804, 0.0867)  1 Pu 1.93
N (0.0460, 0.7329, 0.0867)  1 Pu 1.93
N (0.2500, 0.7589, 0.4822)  1 Pu 2.07, 1 Li 2.20

---

(8)
An optimized crystal structure of BaLiPu4N8. Source: Alexandria via LeMat-Bulk, functional PBE.

Computed properties:
**DOS(E_F)**: 24.5 states/eV per cell
**Raw total energy**: -9.8906 eV per atom
**Space group**: R3m
**Total moment**: 11.0 μB/f.u.
**Uncorrected formation energy**: -0.764 eV per atom

a = 6.9268 Å, b = 6.9268 Å, c = 6.7211 Å
α = 58.98°, β = 58.98°, γ = 60.00°
Last column: nearest neighbours and their distance in Å.
Atoms (fractional coordinates):
Ba (0.3857, 0.3857, 0.8428)  4 N 2.55-2.56
Li (0.0078, 0.0078, 0.9765)  3 N 2.19
Pu (0.6164, 0.6164, 0.1508)  4 N 2.27-2.35
Pu (0.0022, 0.4955, 0.5002)  6 N 2.09-2.34
Pu (0.4955, 0.0022, 0.5002)  6 N 2.09-2.34
Pu (0.0022, 0.0022, 0.5002)  6 N 2.09-2.34
N (0.2332, 0.8386, 0.6950)  2 Pu 2.09, 1 Li 2.19
N (0.8386, 0.2332, 0.6950)  2 Pu 2.09, 1 Li 2.19
N (0.2332, 0.2332, 0.6950)  2 Pu 2.09, 1 Li 2.19
N (0.2280, 0.2280, 0.3161)  3 Pu 2.21
N (0.7415, 0.2130, 0.3040)  3 Pu 2.23-2.27
N (0.2130, 0.7415, 0.3040)  3 Pu 2.23-2.27
N (0.7415, 0.7415, 0.3040)  3 Pu 2.23-2.27
N (0.7612, 0.7612, 0.7164)  4 Pu 2.34-2.35

---

(9)
An optimized crystal structure of BaLi2ReN4. Source: Alexandria via LeMat-Bulk, functional PBE.

Computed properties:
**DOS(E_F)**: 3.8 states/eV per cell
**Raw total energy**: -6.8841 eV per atom
**Space group**: I-42m
**Total moment**: 1.0 μB/f.u.
**Uncorrected formation energy**: -0.447 eV per atom

a = 5.4652 Å, b = 5.4652 Å, c = 5.4652 Å
α = 117.88°, β = 117.88°, γ = 93.72°
Last column: nearest neighbours and their distance in Å.
Atoms (fractional coordinates):
Ba (0.5000, 0.5000, 0.0000)  8 N 2.74-3.03
Li (0.7500, 0.2500, 0.5000)  4 N 2.20
Li (0.2500, 0.7500, 0.5000)  4 N 2.20
Re (0.0000, 0.0000, 0.0000)  4 N 1.84
N (0.6688, 0.6688, 0.6303)  1 Re 1.84
N (0.9615, 0.3312, 0.0000)  1 Re 1.84
N (0.3312, 0.9615, 0.0000)  1 Re 1.84
N (0.0385, 0.0385, 0.3697)  1 Re 1.84

---

(10)
An optimized crystal structure of Ba2LiRe2N6. Source: Alexandria via LeMat-Bulk, functional PBE.

Computed properties:
**DOS(E_F)**: 6.2 states/eV per cell
**Raw total energy**: -7.6110 eV per atom
**Space group**: R-3m
**Total moment**: 1.0 μB/f.u.
**Uncorrected formation energy**: -0.283 eV per atom

a = 6.1018 Å, b = 6.1018 Å, c = 7.3837 Å
α = 65.59°, β = 65.59°, γ = 60.00°
Last column: nearest neighbours and their distance in Å.
Atoms (fractional coordinates):
Ba (0.7463, 0.7463, 0.7612)  9 N 3.06-3.41
Ba (0.2537, 0.2537, 0.2388)  9 N 3.06-3.41
Li (0.0000, 0.0000, 0.0000)  6 N 2.28
Re (0.4309, 0.4309, 0.7072)  3 N 1.79
Re (0.5691, 0.5691, 0.2928)  3 N 1.79
N (0.7578, 0.7578, 0.2144)  1 Re 1.79
N (0.2700, 0.7578, 0.2144)  1 Re 1.79
N (0.7578, 0.2700, 0.2144)  1 Re 1.79
N (0.2422, 0.7300, 0.7856)  1 Re 1.79
N (0.7300, 0.2422, 0.7856)  1 Re 1.79
N (0.2422, 0.2422, 0.7856)  1 Re 1.79

---

(11)
An optimized crystal structure of BaLiReN3. Source: Alexandria via LeMat-Bulk, functional PBE.

Computed properties:
**DOS(E_F)**: 0.0 states/eV per cell
**Raw total energy**: -7.3510 eV per atom
**Space group**: C2/m
**Total moment**: 0.0 μB/f.u.
**Uncorrected formation energy**: -0.474 eV per atom

a = 5.9610 Å, b = 5.9610 Å, c = 7.4082 Å
α = 65.84°, β = 65.84°, γ = 72.01°
Last column: nearest neighbours and their distance in Å.
Atoms (fractional coordinates):
Ba (0.7157, 0.7157, 0.7601)  5 N 2.88-3.10
Ba (0.2843, 0.2843, 0.2399)  5 N 2.88-3.10
Li (0.3432, 0.6568, 0.5000)  4 N 2.00-2.13, 1 Li 2.20
Li (0.6568, 0.3432, 0.5000)  4 N 2.00-2.13, 1 Li 2.20
Re (0.0641, 0.0641, 0.7890)  3 N 1.79-1.80
Re (0.9359, 0.9359, 0.2110)  3 N 1.79-1.80
N (0.2804, 0.2804, 0.6379)  1 Re 1.80
N (0.1849, 0.7651, 0.7534)  1 Re 1.79, 1 Li 2.00
N (0.7651, 0.1849, 0.7534)  1 Re 1.79, 1 Li 2.00
N (0.2349, 0.8151, 0.2466)  1 Re 1.79, 1 Li 2.00
N (0.8151, 0.2349, 0.2466)  1 Re 1.79, 1 Li 2.00
N (0.7196, 0.7196, 0.3621)  1 Re 1.80